[1]
# KPOsS2, relaxed, DFT PBE
# * energy above the most stable polymorph in this dataset: 56.97 kcal/mol of atoms
# * E_form (uncorrected): 2.566 eV per atom
data_KPOsS2
_cell_length_a 5.181
_cell_length_b 5.181
_cell_length_c 5.241
_cell_angle_alpha 90.00
_cell_angle_beta 90.00
_cell_angle_gamma 90.00
_space_group_name_H-M_alt 'P 4/m m m'
_space_group_IT_number 123
_space_group_name_Hall '-P 4 2'
loop_
_atom_site_label
_atom_site_type_symbol
_atom_site_fract_x
_atom_site_fract_y
_atom_site_fract_z
K1 K 0.000 0.000 0.000
P1 P 0.000 0.000 0.500
Os1 Os 0.500 0.500 0.500
S1 S 0.000 0.500 0.000


[2]
# KP2OsS, relaxed, DFT PBE
# * energy above the most stable polymorph in this dataset: 62.68 kcal/mol of atoms
# * E_form (uncorrected): 2.862 eV per atom
data_KP2OsS
_cell_length_a 4.869
_cell_length_b 4.869
_cell_length_c 4.962
_cell_angle_alpha 90.00
_cell_angle_beta 90.00
_cell_angle_gamma 90.00
_space_group_name_H-M_alt 'P 4/m m m'
_space_group_IT_number 123
_space_group_name_Hall '-P 4 2'
loop_
_atom_site_label
_atom_site_type_symbol
_atom_site_fract_x
_atom_site_fract_y
_atom_site_fract_z
K1 K 0.000 0.000 0.000
P1 P 0.000 0.500 0.000
Os1 Os 0.500 0.500 0.500
S1 S 0.000 0.000 0.500


[3]
# KPOsS2, relaxed, DFT PBE
# * energy above the most stable polymorph in this dataset: 0.00 kcal/mol of atoms
# * E_form (uncorrected): 0.095 eV per atom
data_KPOsS2
_cell_length_a 4.932
_cell_length_b 4.932
_cell_length_c 4.503
_cell_angle_alpha 90.00
_cell_angle_beta 90.00
_cell_angle_gamma 90.00
_space_group_name_H-M_alt 'P 4/m m m'
_space_group_IT_number 123
_space_group_name_Hall '-P 4 2'
loop_
_atom_site_label
_atom_site_type_symbol
_atom_site_fract_x
_atom_site_fract_y
_atom_site_fract_z
K1 K 0.000 0.000 0.000
P1 P 0.500 0.500 0.000
Os1 Os 0.500 0.500 0.500
S1 S 0.000 0.500 0.500


[4]
# KP2OsS, relaxed, DFT PBE
# * energy above the most stable polymorph in this dataset: 0.00 kcal/mol of atoms
# * E_form (uncorrected): 0.144 eV per atom
data_KP2OsS
_cell_length_a 4.507
_cell_length_b 4.507
_cell_length_c 5.578
_cell_angle_alpha 90.00
_cell_angle_beta 90.00
_cell_angle_gamma 90.00
_space_group_name_H-M_alt 'P 4/m m m'
_space_group_IT_number 123
_space_group_name_Hall '-P 4 2'
loop_
_atom_site_label
_atom_site_type_symbol
_atom_site_fract_x
_atom_site_fract_y
_atom_site_fract_z
K1 K 0.000 0.000 0.000
P1 P 0.000 0.500 0.500
Os1 Os 0.500 0.500 0.500
S1 S 0.500 0.500 0.000


[5]
# KP2OsS8, relaxed, DFT PBE
# * E_form (uncorrected): -0.261 eV per atom
data_KP2OsS8
_cell_length_a 5.8637
_cell_length_b 5.8637
_cell_length_c 9.6450
_cell_angle_alpha 90.00
_cell_angle_beta 90.00
_cell_angle_gamma 120.00
_space_group_name_H-M_alt 'P -3'
_space_group_IT_number 147
_space_group_name_Hall '-P 3'
loop_
_atom_site_label
_atom_site_type_symbol
_atom_site_fract_x
_atom_site_fract_y
_atom_site_fract_z
K1 K 0.0000 0.0000 0.0000
P1 P 0.3333 0.6667 0.7006
Os1 Os 0.0000 0.0000 0.5000
S1 S 0.0143 0.6737 0.3636
S2 S 0.3333 0.6667 0.9069


[6]
# K2POsSe, relaxed, DFT PBE
# * E_form (uncorrected): 0.705 eV per atom
data_K2POsSe
_cell_length_a 6.418
_cell_length_b 6.418
_cell_length_c 4.546
_cell_angle_alpha 90.00
_cell_angle_beta 90.00
_cell_angle_gamma 90.00
_space_group_name_H-M_alt 'P 4/m m m'
_space_group_IT_number 123
_space_group_name_Hall '-P 4 2'
loop_
_atom_site_label
_atom_site_type_symbol
_atom_site_fract_x
_atom_site_fract_y
_atom_site_fract_z
K1 K 0.000 0.500 0.000
P1 P 0.000 0.000 0.500
Os1 Os 0.500 0.500 0.000
Se1 Se 0.500 0.500 0.500


[7]
# KSnPOs2, relaxed, DFT PBE
# * calculated formation energy: 9.6 eV/f.u.
data_KSnPOs2
_cell_length_a 5.034
_cell_length_b 5.034
_cell_length_c 5.266
_cell_angle_alpha 90.00
_cell_angle_beta 90.00
_cell_angle_gamma 90.00
_space_group_name_H-M_alt 'P 4/m m m'
_space_group_IT_number 123
_space_group_name_Hall '-P 4 2'
loop_
_atom_site_label
_atom_site_type_symbol
_atom_site_fract_x
_atom_site_fract_y
_atom_site_fract_z
K1 K 0.000 0.000 0.000
Sn1 Sn 0.500 0.500 0.500
P1 P 0.500 0.500 0.000
Os1 Os 0.000 0.500 0.500


[8]
# KTc2POs, relaxed, DFT PBE
# * calculated formation energy: 8.1 eV/f.u.
data_KTc2POs
_cell_length_a 4.422
_cell_length_b 4.422
_cell_length_c 5.097
_cell_angle_alpha 90.00
_cell_angle_beta 90.00
_cell_angle_gamma 90.00
_space_group_name_H-M_alt 'P 4/m m m'
_space_group_IT_number 123
_space_group_name_Hall '-P 4 2'
loop_
_atom_site_label
_atom_site_type_symbol
_atom_site_fract_x
_atom_site_fract_y
_atom_site_fract_z
K1 K 0.000 0.000 0.000
Tc1 Tc 0.000 0.500 0.500
P1 P 0.000 0.000 0.500
Os1 Os 0.500 0.500 0.000